(1)
# LuNiBMo PBE optimized geometry
# * E above lowest polymorph: 0.00 kJ per mole of atoms
# * total moment: 1.10 Bohr magnetons per cell
data_LuNiBMo
_chemical_formula_sum 'Lu1 Ni1 B1 Mo1'
_cell_length_a 4.306
_cell_length_b 4.306
_cell_length_c 4.306
_cell_angle_alpha 60.00
_cell_angle_beta 60.00
_cell_angle_gamma 60.00
_space_group_name_H-M_alt 'P 1'
_space_group_IT_number 1
_space_group_name_Hall 'P 1'
loop_
_atom_site_label
_atom_site_fract_x
_atom_site_fract_y
_atom_site_fract_z
_atom_site_occupancy
B1 0.000 0.000 0.000 1
Lu1 0.250 0.250 0.250 1
Mo1 0.750 0.750 0.750 1
Ni1 0.500 0.500 0.500 1

---

(2)
# LuNiBMo PBE optimized geometry
# * E above lowest polymorph: 57.19 kJ per mole of atoms
# * total moment: 2.77 Bohr magnetons per cell
data_LuNiBMo
_chemical_formula_sum 'Lu1 Ni1 B1 Mo1'
_cell_length_a 4.369
_cell_length_b 4.369
_cell_length_c 4.369
_cell_angle_alpha 60.00
_cell_angle_beta 60.00
_cell_angle_gamma 60.00
_space_group_name_H-M_alt 'P 1'
_space_group_IT_number 1
_space_group_name_Hall 'P 1'
loop_
_atom_site_label
_atom_site_fract_x
_atom_site_fract_y
_atom_site_fract_z
_atom_site_occupancy
B1 0.000 0.000 0.000 1
Lu1 0.250 0.250 0.250 1
Mo1 0.500 0.500 0.500 1
Ni1 0.750 0.750 0.750 1

---

(3)
# LuNiBMo PBE optimized geometry
# * E above lowest polymorph: 37.86 kJ per mole of atoms
# * total moment: 0.02 Bohr magnetons per cell
data_LuNiBMo
_chemical_formula_sum 'Lu1 Ni1 B1 Mo1'
_cell_length_a 4.271
_cell_length_b 4.271
_cell_length_c 4.271
_cell_angle_alpha 60.00
_cell_angle_beta 60.00
_cell_angle_gamma 60.00
_space_group_name_H-M_alt 'P 1'
_space_group_IT_number 1
_space_group_name_Hall 'P 1'
loop_
_atom_site_label
_atom_site_fract_x
_atom_site_fract_y
_atom_site_fract_z
_atom_site_occupancy
B1 0.000 0.000 0.000 1
Lu1 0.500 0.500 0.500 1
Mo1 0.250 0.250 0.250 1
Ni1 0.750 0.750 0.750 1